# 1
## UHgTeO6 (GGA-PBE)

Data for an optimized crystal structure of UHgTeO6.

Cell: 7.3074 7.9778 10.9392 Å, 90.00 90.00 90.00°
Last column: nearest neighbours and their distance in Å.
Space group Imma (No. 74)
Unique sites:
U (0.0000, 0.0000, 0.0000)  6 O 2.09
Hg (0.0000, 0.2500, 0.3687)  8 O 3.41-3.74
Te (0.2500, 0.2500, 0.7500)  6 O 1.95-1.97
O (0.0000, 0.2500, 0.0566)  2 U 2.09
O (0.0000, 0.2500, 0.6821)  2 Te 1.97
O (0.1911, 0.0764, 0.8697)  1 Te 1.95, 1 U 2.09

Properties
energy relative to the elements, uncorrected: -15.40 eV/f.u.
total magnetization: 0.000 μB/atom
mass density: 6.897 g cm⁻³
volume: 17.71 Å³ per atom
total energy: -6.653 eV per atom

# 2
## SrLiCa2Tl4 (GGA-PBE)

Data for an optimized crystal structure of SrLiCa2Tl4.

Cell: 5.4601 5.4601 27.1958 Å, 90.00 90.00 120.00°
Last column: nearest neighbours and their distance in Å.
Space group R-3m (No. 166, hexagonal axes)
Unique sites:
Sr (0.0000, 0.0000, 0.0000)  8 Tl 3.45
Li (0.0000, 0.0000, 0.5000)  8 Tl 3.14-3.33
Ca (0.0000, 0.0000, 0.2466)  7 Tl 3.25-3.34
Tl (0.0000, 0.0000, 0.1270)  4 Ca 3.25-3.34, 3 Li 3.33, 1 Sr 3.45
Tl (0.0000, 0.0000, 0.3846)  1 Li 3.14, 3 Ca 3.30, 3 Sr 3.45

Properties
ΔH_f (0 K): -0.347 eV/atom
total magnetization: 0.000 μB/atom
mass density: 7.040 g cm⁻³
volume: 29.26 Å³ per atom
total energy: -2.480 eV per atom

# 3
## PuCuH2F8 (GGA-PBE)

Data for an optimized crystal structure of PuCuH2F8.

Cell: 4.3836 5.0350 7.3911 Å, 102.82 90.91 102.12°
Last column: nearest neighbours and their distance in Å.
Space group P-1 (No. 2)
Unique sites:
Pu (0.0000, 0.0000, 0.0000)  6 F 2.06-2.23
Cu (0.0000, 0.0000, 0.5000)  4 F 1.93-1.96
H (0.2494, 0.5538, 0.3608)  1 F 1.07
F (0.1659, 0.1545, 0.7542)  1 Cu 1.93
F (0.2312, 0.3283, 0.2468)  1 H 1.24
F (0.2777, 0.7360, 0.4719)  1 H 1.07
F (0.3186, 0.7530, 0.0022)  1 Pu 2.06

Properties
total magnetization: 0.250 μB/atom
mass density: 4.939 g cm⁻³
volume: 12.93 Å³ per atom
total energy: -5.645 eV per atom

# 4
## Ac2LaPb (GGA-PBE)

Data for an optimized crystal structure of Ac2LaPb.

Cell: 5.3074 5.3074 5.1886 Å, 90.00 90.00 90.00°
Last column: nearest neighbours and their distance in Å.
Space group P4/mmm (No. 123)
Unique sites:
Ac (0.0000, 0.5000, 0.0000)  4 Pb 3.71, 4 La 3.71, 4 Ac 3.75
La (0.0000, 0.0000, 0.5000)  8 Ac 3.71, 4 Pb 3.75
Pb (0.5000, 0.5000, 0.5000)  8 Ac 3.71, 4 La 3.75

Properties
ΔH_f (0 K): -0.291 eV/atom
total magnetization: 0.000 μB/atom
mass density: 9.090 g cm⁻³
volume: 36.54 Å³ per atom
total energy: -4.504 eV per atom

# 5
## ErTiHgAu (GGA-PBE)

Data for an optimized crystal structure of ErTiHgAu.

Cell: 6.9735 6.9735 6.9735 Å, 90.00 90.00 90.00°
Last column: nearest neighbours and their distance in Å.
Space group F-43m (No. 216)
Unique sites:
Er (0.0000, 0.0000, 0.0000)  4 Hg 3.02, 4 Au 3.02
Ti (0.0000, 0.0000, 0.5000)  4 Au 3.02, 4 Hg 3.02
Hg (0.2500, 0.2500, 0.7500)  4 Ti 3.02, 4 Er 3.02
Au (0.2500, 0.2500, 0.2500)  4 Er 3.02, 4 Ti 3.02

Properties
ΔH_f (0 K): -0.346 eV/atom
total magnetization: 0.391 μB/atom
mass density: 12.001 g cm⁻³
volume: 21.19 Å³ per atom
total energy: -4.355 eV per atom

# 6
## ScMn3Cu (GGA-PBE)

Data for an optimized crystal structure of ScMn3Cu.

Cell: 4.2717 4.2717 4.2717 Å, 90.00 90.00 90.00°
Last column: nearest neighbours and their distance in Å.
Space group Pm-3m (No. 221)
Unique sites:
Sc (0.0000, 0.0000, 0.0000)  6 Mn 2.14
Mn (0.0000, 0.0000, 0.5000)  2 Sc 2.14
Cu (0.5000, 0.5000, 0.5000)  12 Mn 3.02

Properties
ΔH_f (0 K): 1.997 eV/atom
total magnetization: 0.005 μB/atom
mass density: 5.823 g cm⁻³
volume: 15.59 Å³ per atom
total energy: -5.590 eV per atom

# 7
## Na2OsPbCl8 (GGA-PBE)

Data for an optimized crystal structure of Na2OsPbCl8.

Cell: 6.2406 8.3794 6.4802 Å, 90.00 91.05 90.00°
Last column: nearest neighbours and their distance in Å.
Space group P2/m (No. 10)
Unique sites:
Na (0.0000, 0.2501, 0.0000)  6 Cl 2.70-3.01
Os (0.5000, 0.0000, 0.5000)  6 Cl 2.34-2.36
Pb (0.5000, 0.5000, 0.5000)  6 Cl 2.78-3.00
Cl (0.2186, 0.5000, 0.1632)  2 Na 2.70, 1 Pb 2.78
Cl (0.2768, 0.0000, 0.2059)  1 Os 2.34
Cl (0.2866, 0.2014, 0.6474)  1 Os 2.36

Properties
energy relative to the elements, uncorrected: -12.15 eV/f.u.
total magnetization: 0.168 μB/atom
mass density: 3.563 g cm⁻³
volume: 28.23 Å³ per atom
total energy: -3.708 eV per atom

# 8
## VAgS2 (GGA-PBE)

Data for an optimized crystal structure of VAgS2.

Cell: 7.3056 10.7694 15.1251 Å, 90.00 93.01 90.00°
Last column: nearest neighbours and their distance in Å.
Space group C2/c (No. 15)
Unique sites:
V (0.0798, 0.2120, 0.1783)  5 S 2.29-2.47, 1 V 2.52
V (0.2303, 0.3443, 0.3379)  5 S 2.20-2.43
Ag (0.0483, 0.3038, 0.8871)  4 S 2.54-2.78
Ag (0.2005, 0.0549, 0.9280)  3 S 2.58-2.64
S (0.0000, 0.1599, 0.7500)  2 V 2.43, 2 Ag 2.60
S (0.0000, 0.4095, 0.2500)  2 V 2.20
S (0.0122, 0.3215, 0.4492)  2 V 2.33-2.39, 1 Ag 2.54
S (0.1794, 0.0389, 0.0975)  2 V 2.36-2.39, 2 Ag 2.58-2.61
S (0.2069, 0.1282, 0.3119)  3 V 2.29-2.36

Properties
energy relative to the elements, uncorrected: -1.69 eV/f.u.
total magnetization: 0.097 μB/atom
mass density: 4.984 g cm⁻³
volume: 18.57 Å³ per atom
total energy: -5.478 eV per atom

# 9
## Nd2Ho5Tm3 (GGA-PBE)

Data for an optimized crystal structure of Nd2Ho5Tm3.

Cell: 6.7212 9.3328 11.4379 Å, 109.56 105.43 95.01°
Last column: nearest neighbours and their distance in Å.
Space group P-1 (No. 2)
Unique sites:
Nd (0.0949, 0.3246, 0.3321)  4 Ho 3.25-3.62, 5 Tm 3.43-3.59, 1 Nd 3.58
Nd (0.3561, 0.9686, 0.7549)  5 Ho 3.48-3.68, 5 Tm 3.50-3.66, 1 Nd 3.58
Ho (0.0487, 0.7390, 0.4367)  2 Nd 3.25-3.48, 2 Tm 3.34-3.62, 4 Ho 3.39-3.53
Ho (0.1842, 0.5386, 0.1558)  1 Nd 3.40, 3 Tm 3.46-3.62, 8 Ho 3.48-3.60
Ho (0.2738, 0.7537, 0.9607)  3 Nd 3.39-3.68, 4 Ho 3.47-3.59, 5 Tm 3.48-3.72
Ho (0.3156, 0.3645, 0.8610)  8 Ho 3.39-3.72, 3 Tm 3.49-3.69, 1 Nd 3.54
Ho (0.4379, 0.1815, 0.5518)  5 Ho 3.42-3.72, 3 Tm 3.47-3.63, 2 Nd 3.62-3.64
Tm (0.1319, 0.9229, 0.2436)  6 Ho 3.34-3.63, 2 Tm 3.43-3.59, 3 Nd 3.50-3.59
Tm (0.2258, 0.1469, 0.0553)  4 Tm 3.43-3.65, 3 Nd 3.43-3.66, 5 Ho 3.48-3.60
Tm (0.3862, 0.5727, 0.6474)  4 Nd 3.46-3.52, 6 Ho 3.52-3.72, 1 Tm 3.65

Properties
ΔH_f (0 K): 0.058 eV/atom
total magnetization: 0.000 μB/atom
mass density: 8.415 g cm⁻³
volume: 31.97 Å³ per atom
total energy: -4.526 eV per atom

# 10
## Sm7Tl3 (GGA-PBE)

Data for an optimized crystal structure of Sm7Tl3.

Cell: 10.8814 10.8814 6.2888 Å, 90.00 90.00 120.00°
Last column: nearest neighbours and their distance in Å.
Space group P6_3mc (No. 186)
Unique sites:
Sm (0.0562, 0.5281, 0.0000)  4 Tl 3.21-3.52, 2 Sm 3.32
Sm (0.1206, 0.2412, 0.7647)  3 Tl 3.20-3.26
Sm (0.3333, 0.6667, 0.5758)  3 Tl 3.17
Tl (0.1937, 0.3874, 0.2950)  8 Sm 3.17-3.52

Properties
ΔH_f (0 K): -0.189 eV/atom
total magnetization: 0.000 μB/atom
mass density: 8.578 g cm⁻³
volume: 32.24 Å³ per atom
total energy: -4.202 eV per atom

# 11
## Ce3S5 (GGA-PBE)

Data for an optimized crystal structure of Ce3S5.

Cell: 8.1123 8.1123 6.3313 Å, 90.00 90.00 120.00°
Last column: nearest neighbours and their distance in Å.
Space group P6_3/mcm (No. 193)
Unique sites:
Ce (0.0000, 0.3819, 0.2500)  7 S 2.75-2.98
S (0.0000, 0.2660, 0.7500)  3 Ce 2.75-2.86
S (0.3333, 0.6667, 0.0000)  6 Ce 2.98, 2 S 3.17

Properties
energy relative to the elements, uncorrected: -15.11 eV/f.u.
total magnetization: 0.253 μB/atom
mass density: 5.344 g cm⁻³
volume: 22.55 Å³ per atom
total energy: -6.693 eV per atom

Question: What is the formula in the tenth record?
Answer: Sm7Tl3

Question: Among the records above, which one has the highest volume?
Answer: Ac2LaPb